Compound: Zn2CuPt
Source: Alexandria
Functional: PBE
Structure: relaxed

## Properties
Energy of formation from the pure elements = -1.3 eV/f.u.
DOS(E_F) = 0.308 states/eV per atom
Magnetic moment = 0.0 μB/cell

Unit cell a=5.496 b=7.271 c=2.807 alpha=90.00 beta=90.00 gamma=90.00
Space group Cmmm (No. 65)
Symmetry-distinct sites (fractional):
1 Zn 0.250 0.250 0.000 x4
2 Cu 0.000 0.000 0.500 x2
3 Pt 0.000 0.500 0.500 x2